# 1
Here is an optimized crystal structure of FeCoPt from Alexandria via LeMat-Bulk. Energies are from PBE.

Output
Calculated total energy, eV/cell: -43.917
Formation energy from the elements, eV per formula unit: -0.35
Crystal system: hexagonal

Unit cell a=4.145 b=4.145 c=5.273 alpha=90.00 beta=90.00 gamma=120.00
Atoms (fractional coordinates):
Fe (0.333, 0.667, 0.250)
Fe (0.667, 0.333, 0.750)
Co (0.333, 0.667, 0.750)
Co (0.667, 0.333, 0.250)
Pt (0.000, 0.000, 0.000)
Pt (0.000, 0.000, 0.500)


# 2
Here is an optimized crystal structure of FeCo12Pt6 from Alexandria via LeMat-Bulk. Energies are from PBE.

Output
Calculated total energy, eV/cell: -123.561
Formation energy from the elements, eV per formula unit: 6.42
Crystal system: trigonal

Unit cell a=7.365 b=7.365 c=7.365 alpha=59.98 beta=59.98 gamma=59.98
Atoms (fractional coordinates):
Fe (0.000, 0.000, 0.000)
Co (0.057, 0.380, 0.380)
Co (0.151, 0.500, 0.849)
Co (0.151, 0.849, 0.500)
Co (0.380, 0.057, 0.380)
Co (0.380, 0.380, 0.057)
Co (0.500, 0.151, 0.849)
Co (0.500, 0.849, 0.151)
Co (0.620, 0.620, 0.943)
Co (0.620, 0.943, 0.620)
Co (0.849, 0.151, 0.500)
Co (0.849, 0.500, 0.151)
Co (0.943, 0.620, 0.620)
Pt (0.230, 0.230, 0.683)
Pt (0.230, 0.683, 0.230)
Pt (0.317, 0.770, 0.770)
Pt (0.683, 0.230, 0.230)
Pt (0.770, 0.317, 0.770)
Pt (0.770, 0.770, 0.317)


# 3
Here is an optimized crystal structure of FeCo6Pt2 from Alexandria via LeMat-Bulk. Energies are from PBE.

Output
Calculated total energy, eV/cell: -62.665
Formation energy from the elements, eV per formula unit: 0.51
Crystal system: monoclinic

Unit cell a=7.320 b=7.320 c=2.593 alpha=100.03 beta=100.03 gamma=56.29
Atoms (fractional coordinates):
Fe (0.000, 0.000, 0.000)
Co (0.001, 0.341, 0.671)
Co (0.310, 0.690, 0.500)
Co (0.341, 0.001, 0.671)
Co (0.659, 0.999, 0.329)
Co (0.690, 0.310, 0.500)
Co (0.999, 0.659, 0.329)
Pt (0.353, 0.353, 0.854)
Pt (0.647, 0.647, 0.146)


# 4
Here is an optimized crystal structure of FeCo17Pt from Alexandria via LeMat-Bulk. Energies are from PBE.

Output
Calculated total energy, eV/cell: -132.802
Formation energy from the elements, eV per formula unit: 2.50
Crystal system: trigonal

Unit cell a=6.180 b=6.180 c=6.180 alpha=77.21 beta=77.21 gamma=77.21
Atoms (fractional coordinates):
Fe (0.000, 0.000, 0.000)
Co (0.049, 0.049, 0.400)
Co (0.049, 0.400, 0.049)
Co (0.130, 0.710, 0.710)
Co (0.347, 0.347, 0.744)
Co (0.347, 0.665, 0.988)
Co (0.347, 0.744, 0.347)
Co (0.347, 0.988, 0.665)
Co (0.400, 0.049, 0.049)
Co (0.590, 0.590, 0.590)
Co (0.665, 0.347, 0.988)
Co (0.665, 0.988, 0.347)
Co (0.710, 0.130, 0.710)
Co (0.710, 0.710, 0.130)
Co (0.744, 0.347, 0.347)
Co (0.759, 0.759, 0.759)
Co (0.988, 0.347, 0.665)
Co (0.988, 0.665, 0.347)
Pt (0.329, 0.329, 0.329)


# 5
Here is an optimized crystal structure of Fe3CoPt4 from Alexandria via LeMat-Bulk. Energies are from PBE.

Output
Calculated total energy, eV/cell: -116.737
Formation energy from the elements, eV per formula unit: -1.71
Crystal system: orthorhombic

Unit cell a=8.767 b=5.440 c=4.661 alpha=90.00 beta=90.00 gamma=90.00
Atoms (fractional coordinates):
Fe (0.000, 0.000, 0.000)
Fe (0.250, 0.000, 0.338)
Fe (0.250, 0.500, 0.332)
Fe (0.500, 0.000, 0.000)
Fe (0.750, 0.000, 0.662)
Fe (0.750, 0.500, 0.668)
Co (0.000, 0.500, 0.000)
Co (0.500, 0.500, 0.000)
Pt (0.000, 0.251, 0.500)
Pt (0.000, 0.749, 0.500)
Pt (0.250, 0.252, 0.851)
Pt (0.250, 0.748, 0.851)
Pt (0.500, 0.251, 0.500)
Pt (0.500, 0.749, 0.500)
Pt (0.750, 0.252, 0.149)
Pt (0.750, 0.748, 0.149)


# 6
Here is an optimized crystal structure of Fe5CoPt6 from Alexandria via LeMat-Bulk. Energies are from PBE.

Output
Calculated total energy, eV/cell: -88.421
Formation energy from the elements, eV per formula unit: -2.76
Crystal system: orthorhombic

Unit cell a=7.159 b=7.159 c=7.159 alpha=148.74 beta=116.61 gamma=72.38
Atoms (fractional coordinates):
Fe (0.000, 0.000, 0.000)
Fe (0.165, 0.665, 0.500)
Fe (0.335, 0.335, 0.000)
Fe (0.665, 0.665, 0.000)
Fe (0.835, 0.335, 0.500)
Co (0.500, 0.000, 0.500)
Pt (0.085, 0.834, 0.251)
Pt (0.252, 0.500, 0.752)
Pt (0.417, 0.166, 0.251)
Pt (0.583, 0.834, 0.749)
Pt (0.748, 0.500, 0.248)
Pt (0.915, 0.166, 0.749)


# 7
Here is an optimized crystal structure of FeCoPt14 from Alexandria via LeMat-Bulk. Energies are from PBE.

Output
Calculated total energy, eV/cell: -100.942
Formation energy from the elements, eV per formula unit: -0.80
Crystal system: orthorhombic

Unit cell a=9.184 b=5.555 c=5.555 alpha=60.01 beta=90.00 gamma=90.00
Atoms (fractional coordinates):
Fe (0.000, 0.000, 0.000)
Co (0.000, 0.499, 0.499)
Pt (0.000, 0.004, 0.504)
Pt (0.000, 0.504, 0.004)
Pt (0.237, 0.332, 0.832)
Pt (0.237, 0.832, 0.332)
Pt (0.245, 0.336, 0.336)
Pt (0.245, 0.836, 0.836)
Pt (0.500, 0.165, 0.165)
Pt (0.500, 0.166, 0.666)
Pt (0.500, 0.665, 0.665)
Pt (0.500, 0.666, 0.166)
Pt (0.755, 0.336, 0.336)
Pt (0.755, 0.836, 0.836)
Pt (0.763, 0.332, 0.832)
Pt (0.763, 0.832, 0.332)


# 8
Here is an optimized crystal structure of FeCo8Pt2 from Alexandria via LeMat-Bulk. Energies are from PBE.

Output
Calculated total energy, eV/cell: -76.429
Formation energy from the elements, eV per formula unit: 0.96
Crystal system: monoclinic

Unit cell a=7.589 b=7.589 c=3.984 alpha=91.14 beta=91.14 gamma=36.93
Atoms (fractional coordinates):
Fe (0.000, 0.000, 0.000)
Co (0.144, 0.617, 0.263)
Co (0.153, 0.153, 0.249)
Co (0.383, 0.856, 0.737)
Co (0.457, 0.457, 0.750)
Co (0.543, 0.543, 0.250)
Co (0.617, 0.144, 0.263)
Co (0.847, 0.847, 0.751)
Co (0.856, 0.383, 0.737)
Pt (0.279, 0.279, 0.764)
Pt (0.721, 0.721, 0.236)